Entry 1:
A relaxed structure of ZrTl2Cd, computed with PBEsol.

abc: 3.135 5.796 6.005
angles: 117.88 103.50 93.28
Positions (direct):
Zr (0.500, 0.000, 0.000)
Cd (0.000, 0.500, 0.000)
Tl (0.500, 0.500, 0.500)
Tl (0.000, 0.000, 0.500)

Summary:
ΔE_f	6	kJ/mol of formula units
total magnetization	0.0000	μB per atom
energy	-3.87	eV per atom


Entry 2:
A relaxed structure of ZrTlCd, computed with PBEsol.

abc: 3.285 4.765 4.765
angles: 120.00 90.00 90.00
Positions (direct):
Cd (0.906, 0.000, 0.000)
Zr (0.338, 0.667, 0.333)
Tl (0.755, 0.333, 0.667)

Summary:
ΔE_f	-8	kJ/mol of formula units
total magnetization	0.0000	μB per atom
energy	-4.33	eV per atom


Entry 3:
A relaxed structure of ZrTl2Cd, computed with PBEsol.

abc: 3.289 3.289 9.994
angles: 90.00 90.00 119.57
Positions (direct):
Tl (0.000, 0.000, 0.249)
Tl (0.000, 0.000, 0.751)
Cd (0.500, 0.500, 0.000)
Zr (0.500, 0.500, 0.500)

Summary:
ΔE_f	33	kJ/mol of formula units
total magnetization	0.0000	μB per atom
energy	-3.80	eV per atom


Entry 4:
A relaxed structure of ZrTl2Cd, computed with PBEsol.

abc: 4.309 4.514 4.514
angles: 90.00 90.00 90.00
Positions (direct):
Tl (0.000, 0.500, 0.000)
Tl (0.000, 0.000, 0.500)
Zr (0.500, 0.500, 0.500)
Cd (0.500, 0.000, 0.000)

Summary:
ΔE_f	-33	kJ/mol of formula units
total magnetization	0.0000	μB per atom
energy	-3.97	eV per atom


Entry 5:
A relaxed structure of ZrTl2Cd, computed with PBEsol.

abc: 3.189 3.189 9.365
angles: 90.00 90.00 90.00
Positions (direct):
Zr (0.000, 0.000, 0.505)
Tl (0.000, 0.000, 0.992)
Tl (0.500, 0.500, 0.277)
Cd (0.500, 0.500, 0.726)

Summary:
ΔE_f	10	kJ/mol of formula units
total magnetization	0.0001	μB per atom
energy	-3.86	eV per atom


Entry 6:
A relaxed structure of ZrTl2Cd, computed with PBEsol.

abc: 3.217 5.411 5.666
angles: 112.90 90.00 90.00
Positions (direct):
Zr (0.500, 0.500, 0.000)
Tl (0.500, 0.000, 0.500)
Tl (0.000, 0.000, 0.000)
Cd (0.000, 0.500, 0.500)

Summary:
ΔE_f	-14	kJ/mol of formula units
total magnetization	0.0000	μB per atom
energy	-3.92	eV per atom


Entry 7:
A relaxed structure of TmCd2, computed with PBEsol.

abc: 3.330 4.841 4.841
angles: 120.00 90.00 90.00
Positions (direct):
Tm (0.500, 0.000, 0.000)
Cd (0.000, 0.333, 0.667)
Cd (0.000, 0.667, 0.333)

Summary:
ΔE_f	-96	kJ/mol of formula units
total magnetization	0.0001	μB per atom
energy	-2.76	eV per atom


Entry 8:
A relaxed structure of YTmCd2, computed with PBEsol.

abc: 5.172 5.172 5.172
angles: 60.00 60.00 60.00
Positions (direct):
Cd (0.250, 0.250, 0.250)
Cd (0.750, 0.750, 0.750)
Tm (0.500, 0.500, 0.500)
Y (0.000, 0.000, 0.000)

Summary:
ΔE_f	-139	kJ/mol of formula units
total magnetization	0.0002	μB per atom
energy	-3.89	eV per atom